Below is an optimized crystal structure of LiAcAlPt, with properties calculated at the PBE-GGA level.

Cell: 4.9594 4.9594 4.9594 Å, 60.00 60.00 60.00°
Fractional positions:
Li: 0.0000 0.0000 0.0000
Ac: 0.7500 0.7500 0.7500
Al: 0.2500 0.2500 0.2500
Pt: 0.5000 0.5000 0.5000

Summary:
SG = F-43m, No. 216
energy of formation = -509 meV per atom
total magnetization = 0.000 μB/atom
energy above the lowest structure with this stoichiometry = 127 meV per atom